*P*
## NaLiP2O (PBE)

Data for NaLiP2O after structural relaxation.

* symmetry: P4/mmm, No. 123

a = 4.9953 Å, b = 4.9953 Å, c = 4.0646 Å
α = 90.00°, β = 90.00°, γ = 90.00°
Last column: nearest neighbours and their distance in Å.
Fractional positions:
O (0.0000, 0.0000, 0.5000)  2 Na 2.03
Na (0.0000, 0.0000, 0.0000)  2 O 2.03
Li (0.5000, 0.5000, 0.5000)  8 P 3.22, 4 O 3.53
P (0.0000, 0.5000, 0.0000)  2 Na 2.50
P (0.5000, 0.0000, 0.0000)  2 Na 2.50

*Q*
## NaLiP2O (PBE)

Data for NaLiP2O after structural relaxation.

* symmetry: P4/mmm, No. 123

a = 4.8596 Å, b = 4.8596 Å, c = 3.3680 Å
α = 90.00°, β = 90.00°, γ = 90.00°
Last column: nearest neighbours and their distance in Å.
Fractional positions:
O (0.0000, 0.0000, 0.5000)  2 Li 1.68
Li (0.0000, 0.0000, 0.0000)  2 O 1.68
P (0.0000, 0.5000, 0.0000)  2 Li 2.43
P (0.5000, 0.0000, 0.0000)  2 Li 2.43
Na (0.5000, 0.5000, 0.5000)  8 P 2.96

*Q* is favored, and the nearest alternative lies 0.552 eV/atom above it.